(1)
Computed, not measured: a geometry-optimized ReBiPt2 structure at the GGA-PBE level of DFT.

a b c (Å): 6.2291 6.2291 6.9709
angles (deg): 63.46 63.46 90.00
With the nearest neighbours (Å) after each atom.
Fractional coordinates of all 8 atoms:
Re 0.5000 0.5000 0.0000  4 Pt 2.42
Re 0.2500 0.7500 0.5000  4 Pt 2.42
Bi 0.0000 0.0000 0.0000  4 Pt 2.77
Bi 0.7500 0.2500 0.5000  4 Pt 2.77
Pt 0.5787 0.1250 0.2500  2 Re 2.42
Pt 0.1713 0.6250 0.2500  2 Re 2.42
Pt 0.3750 0.4213 0.7500  2 Re 2.42
Pt 0.8750 0.8287 0.7500  2 Re 2.42

Summary:
**Final energy**: -6.441 eV per atom
**E_form**: 0.66 eV per atom

(2)
Computed, not measured: a geometry-optimized Hg4SeI2Cl structure at the GGA-PBE level of DFT.

a b c (Å): 7.5962 9.1922 8.5469
angles (deg): 90.00 90.00 90.00
With the nearest neighbours (Å) after each atom.
Fractional coordinates of all 16 atoms:
Hg 0.3046 0.1882 0.0000  1 Cl 2.57, 1 Se 2.59
Hg 0.8046 0.8118 0.5000  1 Cl 2.57, 1 Se 2.59
Hg 0.4204 0.0719 0.5000  1 Se 2.60
Hg 0.9204 0.9281 0.0000  1 Se 2.60
Hg 0.4356 0.6776 0.8305  1 Hg 2.90, 1 Se 3.02, 1 Cl 3.23
Hg 0.9356 0.3224 0.3305  1 Hg 2.90, 1 Se 3.02, 1 Cl 3.23
Hg 0.9356 0.3224 0.6695  1 Hg 2.90, 1 Se 3.02, 1 Cl 3.23
Hg 0.4356 0.6776 0.1695  1 Hg 2.90, 1 Se 3.02, 1 Cl 3.23
Se 0.4644 0.7913 0.5000  2 Hg 2.59-2.60
Se 0.9644 0.2087 0.0000  2 Hg 2.59-2.60
I 0.4533 0.3199 0.2813  2 Hg 2.92-2.96
I 0.4533 0.3199 0.7187  2 Hg 2.92-2.96
I 0.9533 0.6801 0.7813  2 Hg 2.92-2.96
I 0.9533 0.6801 0.2187  2 Hg 2.92-2.96
Cl 0.0328 0.0184 0.5000  1 Hg 2.57
Cl 0.5328 0.9816 0.0000  1 Hg 2.57

Summary:
**Final energy**: -1.402 eV per atom
**Energy relative to the elements, uncorrected**: -1.58 eV/f.u.

(3)
Computed, not measured: a geometry-optimized ReAgAu2 structure at the GGA-PBE level of DFT.

a b c (Å): 3.9481 3.9481 10.0407
angles (deg): 78.66 78.66 90.00
With the nearest neighbours (Å) after each atom.
Fractional coordinates of all 8 atoms:
Re 0.0000 0.0000 0.0000  4 Au 2.78, 4 Ag 2.79
Re 0.7500 0.2500 0.5000  4 Au 2.78, 4 Ag 2.79
Au 0.6285 0.1250 0.2500  4 Au 2.77-2.81, 2 Re 2.78, 2 Ag 2.79
Au 0.1215 0.6250 0.2500  4 Au 2.77-2.81, 2 Re 2.78, 2 Ag 2.79
Au 0.3750 0.3715 0.7500  4 Au 2.77-2.81, 2 Re 2.78, 2 Ag 2.79
Au 0.8750 0.8785 0.7500  4 Au 2.77-2.81, 2 Re 2.78, 2 Ag 2.79
Ag 0.5000 0.5000 0.0000  4 Au 2.79, 4 Re 2.79
Ag 0.2500 0.7500 0.5000  4 Au 2.79, 4 Re 2.79

Summary:
**Final energy**: -4.456 eV per atom
**E_form**: 1.01 eV per atom

(4)
Computed, not measured: a geometry-optimized Mo2Pd2Pt15 structure at the GGA-PBE level of DFT.

a b c (Å): 6.9381 6.9381 6.9381
angles (deg): 81.67 81.67 81.67
With the nearest neighbours (Å) after each atom.
Fractional coordinates of all 19 atoms:
Mo 0.9146 0.9146 0.9146  1 Mo 2.33
Mo 0.0854 0.0854 0.0854  1 Mo 2.33
Pd 0.6970 0.6970 0.6970  1 Mo 2.97, 12 Pt 3.12-3.21
Pd 0.3030 0.3030 0.3030  1 Mo 2.97, 12 Pt 3.12-3.21
Pt 0.0000 0.5000 0.0000  8 Pt 2.62-2.70, 2 Mo 2.84
Pt 0.0000 0.0000 0.5000  8 Pt 2.62-2.70, 2 Mo 2.84
Pt 0.5000 0.0000 0.0000  8 Pt 2.62-2.70, 2 Mo 2.84
Pt 0.3197 0.0000 0.6803  8 Pt 2.70-2.90
Pt 0.6803 0.3197 0.0000  8 Pt 2.70-2.90
Pt 0.0000 0.6803 0.3197  8 Pt 2.70-2.90
Pt 0.3197 0.6803 0.0000  8 Pt 2.70-2.90
Pt 0.0000 0.3197 0.6803  8 Pt 2.70-2.90
Pt 0.6803 0.0000 0.3197  8 Pt 2.70-2.90
Pt 0.3397 0.8413 0.3397  8 Pt 2.62-2.78, 1 Mo 2.87
Pt 0.3397 0.3397 0.8413  8 Pt 2.62-2.78, 1 Mo 2.87
Pt 0.8413 0.3397 0.3397  8 Pt 2.62-2.78, 1 Mo 2.87
Pt 0.6603 0.1587 0.6603  8 Pt 2.62-2.78, 1 Mo 2.87
Pt 0.6603 0.6603 0.1587  8 Pt 2.62-2.78, 1 Mo 2.87
Pt 0.1587 0.6603 0.6603  8 Pt 2.62-2.78, 1 Mo 2.87

Summary:
**Final energy**: -6.334 eV per atom
**E_form**: 0.12 eV per atom

(5)
Computed, not measured: a geometry-optimized DyErSc2 structure at the GGA-PBE level of DFT.

a b c (Å): 3.7342 3.7381 8.0939
angles (deg): 90.00 90.00 90.00
With the nearest neighbours (Å) after each atom.
Fractional coordinates of all 4 atoms:
Dy 0.0000 0.0000 0.4730  5 Sc 3.33-3.63, 4 Er 3.62
Er 0.5000 0.5000 0.7795  5 Sc 3.31-3.59, 4 Dy 3.62
Sc 0.0000 0.0000 0.0249  4 Sc 3.09, 4 Er 3.31
Sc 0.5000 0.5000 0.2226  4 Sc 3.09, 4 Dy 3.33

Summary:
**Final energy**: -5.380 eV per atom
**E_form**: 0.08 eV per atom

(6)
Computed, not measured: a geometry-optimized KCo2SnC structure at the GGA-PBE level of DFT.

a b c (Å): 4.7148 6.4136 4.7148
angles (deg): 90.00 90.00 90.00
With the nearest neighbours (Å) after each atom.
Fractional coordinates of all 5 atoms:
C 0.5000 0.5000 0.5000  4 K 3.33
K 0.0000 0.5000 0.0000  2 Sn 3.21, 4 C 3.33
Co 0.0000 0.0000 0.5000  2 Sn 2.36
Co 0.5000 0.0000 0.0000  2 Sn 2.36
Sn 0.0000 0.0000 0.0000  4 Co 2.36

Summary:
**Final energy**: -3.512 eV per atom
**E_form**: 2.20 eV per atom

(7)
Computed, not measured: a geometry-optimized Tl6ZnS4 structure at the GGA-PBE level of DFT.

a b c (Å): 7.1871 10.2367 10.2366
angles (deg): 120.00 90.00 90.00
With the nearest neighbours (Å) after each atom.
Fractional coordinates of all 22 atoms:
Tl 0.4595 0.6936 0.8468  2 S 2.97-3.21
Tl 0.4595 0.1532 0.3064  2 S 2.97-3.21
Tl 0.4595 0.1532 0.8468  2 S 2.97-3.21
Tl 0.9595 0.3064 0.1532  2 S 2.97-3.21
Tl 0.9595 0.8468 0.6936  2 S 2.97-3.21
Tl 0.9595 0.8468 0.1532  2 S 2.97-3.21
Tl 0.6296 0.9309 0.4654  3 S 3.05-3.10
Tl 0.6296 0.5346 0.0691  3 S 3.05-3.10
Tl 0.6296 0.5346 0.4654  3 S 3.05-3.10
Tl 0.1296 0.0691 0.5346  3 S 3.05-3.10
Tl 0.1296 0.4654 0.9309  3 S 3.05-3.10
Tl 0.1296 0.4654 0.5346  3 S 3.05-3.10
Zn 0.7519 0.3333 0.6667  4 S 2.41-2.44
Zn 0.2519 0.6667 0.3333  4 S 2.41-2.44
S 0.4130 0.3333 0.6667  1 Zn 2.44
S 0.9130 0.6667 0.3333  1 Zn 2.44
S 0.8534 0.5921 0.7960  1 Zn 2.41
S 0.8534 0.2040 0.4079  1 Zn 2.41
S 0.8534 0.2040 0.7960  1 Zn 2.41
S 0.3534 0.4079 0.2040  1 Zn 2.41
S 0.3534 0.7960 0.5921  1 Zn 2.41
S 0.3534 0.7960 0.2040  1 Zn 2.41

Summary:
**Final energy**: -3.264 eV per atom
**Energy relative to the elements, uncorrected**: -3.93 eV/f.u.

(8)
Computed, not measured: a geometry-optimized UHgPdRh structure at the GGA-PBE level of DFT.

a b c (Å): 4.7718 4.7718 4.7718
angles (deg): 60.00 60.00 60.00
With the nearest neighbours (Å) after each atom.
Fractional coordinates of all 4 atoms:
Rh 0.5000 0.5000 0.5000  4 Hg 2.92, 4 U 2.92
U 0.2500 0.2500 0.2500  4 Rh 2.92, 4 Pd 2.92
Hg 0.7500 0.7500 0.7500  4 Pd 2.92, 4 Rh 2.92
Pd 0.0000 0.0000 0.0000  4 U 2.92, 4 Hg 2.92

Summary:
**Final energy**: -6.285 eV per atom
**E_form**: -0.25 eV per atom